[1]
The following is a PBE calculation of a geometry-optimized LiTm6Ag5 structure, from Alexandria.

Structure (POSCAR):
```
LiTm6Ag5
1.0
-1.431 1.693 4.580
3.054 -5.677 3.052
5.758 5.860 -3.193
Tm Ag Li
6 5 1
Cartesian
4.398 2.005 3.460
2.884 4.819 1.946
1.560 -3.385 4.565
0.062 -0.600 3.068
4.496 -2.943 2.493
2.982 -0.128 0.979
1.367 2.073 2.487
4.373 2.575 0.415
1.527 -2.839 1.526
3.007 -0.699 4.024
6.013 -0.197 1.952
0.000 0.000 0.000
```

Results
Its formation energy is -271.3 meV per atom. The energy is -46.254 eV/cell.


[2]
The following is a PBE calculation of a geometry-optimized CrCdSe structure, from Alexandria.

Structure (POSCAR):
```
CrCdSe
1.0
-2.256 0.588 -5.905
-2.758 -2.386 -5.197
-3.012 0.603 0.398
Cd Cr Se
1 1 1
Cartesian
-4.964 -1.739 -10.821
-3.636 -0.145 -3.186
-4.439 -1.108 -7.797
```

Results
The energy above the most stable polymorph in this dataset comes out at 0.040 eV per atom. The energy is -13.924 eV/cell. Its formation energy (no corrections) is 0.0331 eV per atom.


[3]
The following is a PBE calculation of a geometry-optimized Ca3AsP structure, from Alexandria.

Structure (POSCAR):
```
Ca3AsP
1.0
-1.758 3.548 -6.394
-7.227 -5.302 -1.698
-7.512 3.851 3.460
Ca As P
12 4 4
Cartesian
-7.088 -1.818 -5.062
-10.079 -1.061 -6.570
-9.410 3.914 0.430
-6.419 3.157 1.938
-4.149 1.324 -6.039
-13.136 -0.411 -3.457
-12.349 0.773 1.407
-3.362 2.508 -1.175
-10.084 1.318 -2.176
-7.312 3.168 -5.307
-6.414 0.779 -2.456
-9.185 -1.072 0.675
-7.698 -3.423 -2.737
-8.800 5.520 -1.895
-7.850 1.466 0.018
-8.648 0.631 -4.650
-12.424 2.549 -3.303
-5.003 2.952 -3.607
-4.074 -0.453 -1.329
-11.494 -0.855 -1.025
```

Results
Its formation energy is -1060.9 meV per atom. The energy above the most stable polymorph in this dataset comes out at 0.057 eV per atom. The energy is -85.475 eV/cell.


[4]
The following is a PBE calculation of a geometry-optimized CoMoN3 structure, from Alexandria.

Structure (POSCAR):
```
CoMoN3
1.0
3.586 0.000 0.000
0.000 3.586 0.000
0.000 0.000 3.586
Mo Co N
1 1 3
Cartesian
1.793 1.793 1.793
0.000 0.000 0.000
0.000 1.793 0.000
0.000 0.000 1.793
1.793 0.000 0.000
```

Results
The energy is -37.011 eV/cell. Its formation energy (no corrections) is 1.1805 eV per atom.


[5]
The following is a PBE calculation of a geometry-optimized Sm2EuSn structure, from Alexandria.

Structure (POSCAR):
```
Sm2EuSn
1.0
4.838 0.000 0.000
0.000 4.992 0.000
0.000 0.000 4.992
Eu Sn Sm
1 1 2
Cartesian
2.419 0.000 0.000
2.419 2.496 2.496
0.000 0.000 2.496
0.000 2.496 0.000
```

Results
Its formation energy is -403.9 meV per atom. The energy above the most stable polymorph in this dataset comes out at 0.000 eV per atom. The energy is -25.331 eV/cell.


[6]
The following is a PBE calculation of a geometry-optimized SrCuS3 structure, from Alexandria.

Structure (POSCAR):
```
SrCuS3
1.0
-0.555 -4.100 -2.110
4.611 -0.460 -0.319
0.072 -2.133 4.125
Sr S Cu
1 3 1
Cartesian
2.064 -3.347 0.848
2.305 -0.230 -0.159
0.036 -1.066 2.063
-0.277 -2.050 -1.055
0.000 0.000 0.000
```

Results
The energy above the most stable polymorph in this dataset comes out at 0.000 eV per atom. The energy is -21.186 eV/cell. Its formation energy (no corrections) is -0.6052 eV per atom.


[7]
The following is a PBE calculation of a geometry-optimized FeTePb2 structure, from Alexandria.

Structure (POSCAR):
```
FeTePb2
1.0
-4.244 -5.679 6.651
-4.165 -7.882 3.876
-1.320 -7.561 5.965
Fe Pb Te
1 2 1
Cartesian
-7.297 -15.842 12.369
-0.158 -0.344 0.268
-4.706 -10.217 7.977
-2.432 -5.281 4.123
```

Results
The energy is -17.342 eV/cell. Its formation energy (no corrections) is 0.4197 eV per atom.


[8]
The following is a PBE calculation of a geometry-optimized HPdSe2 structure, from Alexandria.

Structure (POSCAR):
```
HPdSe2
1.0
0.000 3.119 3.119
3.119 0.000 3.119
3.119 3.119 0.000
H Se Pd
1 2 1
Cartesian
0.000 0.000 0.000
1.560 1.560 1.560
4.679 4.679 4.679
3.119 3.119 3.119
```

Results
The energy above the most stable polymorph in this dataset comes out at 0.695 eV per atom. The energy is -13.460 eV/cell.


[9]
The following is a PBE calculation of a geometry-optimized CsCoTcCl6 structure, from Alexandria.

Structure (POSCAR):
```
CsCoTcCl6
1.0
6.350 0.000 0.001
3.175 5.500 0.001
-0.002 -0.001 7.901
Cs Co Tc Cl
1 1 1 6
Cartesian
3.174 5.498 7.902
6.350 3.666 3.952
3.174 1.833 3.951
1.208 2.018 2.587
2.352 0.037 5.315
5.140 2.018 5.316
2.030 3.443 5.316
4.318 3.443 2.588
3.997 0.037 2.587
```

Results
The energy is -37.633 eV/cell. Its formation energy (no corrections) is -0.9142 eV per atom.


[10]
The following is a PBE calculation of a geometry-optimized NbSnHgRu2 structure, from Alexandria.

Structure (POSCAR):
```
NbSnHgRu2
1.0
4.938 0.000 0.000
0.000 5.033 0.000
0.000 0.000 4.938
Ru Nb Hg Sn
2 1 1 1
Cartesian
0.000 0.000 2.469
2.469 0.000 0.000
0.000 2.516 0.000
0.000 0.000 0.000
2.469 2.516 2.469
```

Results
Its formation energy is 1902.2 meV per atom. The energy is -23.415 eV/cell.


[11]
The following is a PBE calculation of a geometry-optimized TiSi2Pd structure, from Alexandria.

Structure (POSCAR):
```
TiSi2Pd
1.0
4.267 0.000 0.000
2.133 3.695 0.000
2.133 1.232 5.652
Si Pd Ti
2 1 1
Cartesian
2.133 1.232 3.355
6.400 3.695 2.297
0.000 0.000 0.000
4.267 2.463 2.826
```

Results
The energy is -22.071 eV/cell. Its formation energy (no corrections) is 0.4658 eV per atom.


[12]
The following is a PBE calculation of a geometry-optimized YMg2GaCo structure, from Alexandria.

Structure (POSCAR):
```
YMg2GaCo
1.0
4.732 0.000 0.000
0.000 4.732 0.000
0.000 0.000 4.597
Y Mg Co Ga
1 2 1 1
Cartesian
2.366 2.366 2.299
0.000 2.366 0.000
2.366 0.000 0.000
0.000 0.000 0.000
0.000 0.000 2.299
```

Results
Its formation energy is -90.8 meV per atom. The energy is -20.240 eV/cell.


no.,volume (Å³/cell)
1,277.6
2,57.2
3,587.4
4,46.1
5,120.5
6,100.2
7,103.4
8,60.7
9,275.9
10,122.7
11,89.1
12,102.9